Crystalline LuMgAuO3 at its relaxed geometry. Source: the Open Quantum Materials Database, functional PBE-GGA.

Cell lengths 3.4692, 6.3030, 8.6421 Å; angles 90.78, 90.00, 105.86 degrees
Fractional positions:
Lu 0.0000 0.0000 0.0000
Lu 0.0417 0.0800 0.5027
Mg 0.3802 0.6775 0.6630
Mg 0.7348 0.3987 0.1713
Au 0.3781 0.7447 0.2143
Au 0.6725 0.3372 0.7211
O 0.0253 0.1785 0.2529
O 0.0702 0.7462 0.8432
O 0.3540 0.3387 0.3504
O 0.4310 0.8796 0.4907
O 0.5888 0.2001 0.9927
O 0.8899 0.9013 0.7491

Properties
Total moment ... 0.0 μB per formula unit
Total DFT energy (no corrections) ... -68.8 eV for the cell shown